[1]
! In7Ga3 GGA-PBE optimized geometry; values from VASP
&SYSTEM
  ibrav = 0, nat = 10, ntyp = 2
/
ATOMIC_SPECIES
In 114.82 In.upf
Ga 69.72 Ga.upf
ATOMIC_POSITIONS crystal
In 0.000 0.000 0.000
In 0.207 0.628 0.415
In 0.399 0.194 0.795
In 0.401 0.684 0.801
In 0.599 0.316 0.199
In 0.601 0.806 0.205
In 0.793 0.372 0.585
Ga 0.000 0.500 0.000
Ga 0.195 0.096 0.390
Ga 0.805 0.904 0.610
CELL_PARAMETERS angstrom
4.358 0.000 0.000
-0.122 6.932 0.000
-2.092 -3.046 8.219
! V: 248 Å³ per cell
! ΔE_f: 0.41 eV per formula unit
! Symmetry: P-1 (2)

[2]
! In5Ga3 GGA-PBE optimized geometry; values from VASP
&SYSTEM
  ibrav = 0, nat = 16, ntyp = 2
/
ATOMIC_SPECIES
In 114.82 In.upf
Ga 69.72 Ga.upf
ATOMIC_POSITIONS crystal
In 0.000 0.000 0.000
In 0.000 0.000 0.283
In 0.000 0.000 0.717
In 0.000 0.500 0.142
In 0.000 0.500 0.858
In 0.500 0.000 0.142
In 0.500 0.000 0.858
In 0.500 0.500 0.000
In 0.500 0.500 0.283
In 0.500 0.500 0.717
Ga 0.000 0.000 0.500
Ga 0.000 0.500 0.404
Ga 0.000 0.500 0.596
Ga 0.500 0.000 0.404
Ga 0.500 0.000 0.596
Ga 0.500 0.500 0.500
CELL_PARAMETERS angstrom
4.426 0.000 0.000
0.000 4.946 0.000
0.000 0.000 17.605
! V: 385 Å³ per cell
! ΔE_f: 0.22 eV per formula unit
! Symmetry: Cmmm (65)